No. 1
Compound: CsTlTe
Source: Alexandria via LeMat-Bulk
Functional: PBE-GGA
Structure: relaxed

Lattice parameters (Å, degrees): 6.033 6.033 6.033 60.00 60.00 60.00
Atoms (fractional coordinates):
Te 0.250 0.250 0.250
Tl 0.000 0.000 0.000
Cs 0.500 0.500 0.500

## Properties
Uncorrected energy: -8.159 eV per formula unit
Spin magnetization: 0.00 μB/atom
Energy relative to the elements, uncorrected: -0.599 eV/atom

No. 2
Compound: CsTl4Te2
Source: Alexandria via LeMat-Bulk
Functional: PBE-GGA
Structure: relaxed

Lattice parameters (Å, degrees): 5.687 9.803 9.803 90.00 90.00 90.00
Atoms (fractional coordinates):
Te 0.000 0.209 0.791
Te 0.500 0.291 0.291
Te 0.500 0.709 0.709
Te 0.000 0.791 0.209
Tl 0.000 0.652 0.905
Tl 0.000 0.348 0.095
Tl 0.000 0.095 0.348
Tl 0.500 0.152 0.595
Tl 0.500 0.848 0.405
Tl 0.500 0.595 0.152
Tl 0.500 0.405 0.848
Tl 0.000 0.905 0.652
Cs 0.000 0.500 0.500
Cs 0.500 0.000 0.000

## Properties
Uncorrected energy: -19.292 eV per formula unit
Spin magnetization: 0.00 μB/atom
Energy relative to the elements, uncorrected: -0.384 eV/atom
DOS(E_F): 4.466 states/eV per cell

No. 3
Compound: Cs3Tl4Te4
Source: Alexandria via LeMat-Bulk
Functional: PBE-GGA
Structure: relaxed

Lattice parameters (Å, degrees): 5.033 5.498 18.695 98.46 97.74 90.00
Atoms (fractional coordinates):
Tl 0.903 0.403 0.806
Tl 0.250 0.250 0.499
Tl 0.750 0.750 0.501
Tl 0.097 0.597 0.194
Te 0.190 0.690 0.379
Te 0.453 0.453 0.907
Te 0.547 0.547 0.093
Te 0.810 0.310 0.621
Cs 0.000 0.000 0.000
Cs 0.348 0.848 0.696
Cs 0.652 0.152 0.304

## Properties
Uncorrected energy: -30.732 eV per formula unit
Spin magnetization: 0.00 μB/atom
Energy relative to the elements, uncorrected: -0.558 eV/atom
DOS(E_F): 1.581 states/eV per cell

No. 4
Compound: Cs5Tl4Te4
Source: Alexandria via LeMat-Bulk
Functional: PBE-GGA
Structure: relaxed

Lattice parameters (Å, degrees): 5.555 10.768 10.768 86.19 75.05 75.05
Atoms (fractional coordinates):
Cs 0.712 0.925 0.651
Cs 0.363 0.349 0.925
Cs 0.288 0.075 0.349
Cs 0.637 0.651 0.075
Cs 0.000 0.000 0.000
Te 0.258 0.691 0.792
Te 0.950 0.792 0.309
Te 0.050 0.208 0.691
Te 0.742 0.309 0.208
Tl 0.902 0.533 0.663
Tl 0.098 0.467 0.337
Tl 0.435 0.663 0.467
Tl 0.565 0.337 0.533

## Properties
Uncorrected energy: -34.780 eV per formula unit
Spin magnetization: 0.00 μB/atom
Energy relative to the elements, uncorrected: -0.652 eV/atom
DOS(E_F): 5.353 states/eV per cell

No. 5
Compound: CsTl5Te3
Source: Alexandria via LeMat-Bulk
Functional: PBE-GGA
Structure: relaxed

Lattice parameters (Å, degrees): 5.313 9.719 15.277 90.00 90.00 105.86
Atoms (fractional coordinates):
Tl 0.807 0.613 0.051
Tl 0.000 0.000 0.500
Tl 0.450 0.899 0.361
Tl 0.000 0.000 0.000
Tl 0.807 0.613 0.449
Tl 0.550 0.101 0.639
Tl 0.193 0.387 0.949
Tl 0.550 0.101 0.861
Tl 0.193 0.387 0.551
Tl 0.450 0.899 0.139
Te 0.624 0.247 0.441
Te 0.376 0.753 0.559
Te 0.879 0.758 0.250
Te 0.121 0.242 0.750
Te 0.624 0.247 0.059
Te 0.376 0.753 0.941
Cs 0.815 0.630 0.750
Cs 0.185 0.370 0.250

## Properties
Uncorrected energy: -25.558 eV per formula unit
Spin magnetization: 0.00 μB/atom
Energy relative to the elements, uncorrected: -0.383 eV/atom
DOS(E_F): 0.419 states/eV per cell

No. 6
Compound: Cs3TlTe3
Source: Alexandria via LeMat-Bulk
Functional: PBE-GGA
Structure: relaxed

Lattice parameters (Å, degrees): 9.452 9.452 9.181 96.36 96.36 112.72
Atoms (fractional coordinates):
Te 0.152 0.453 0.284
Te 0.453 0.152 0.284
Te 0.898 0.898 0.177
Te 0.547 0.848 0.716
Te 0.102 0.102 0.823
Te 0.848 0.547 0.716
Cs 0.172 0.828 0.500
Cs 0.828 0.172 0.500
Cs 0.767 0.233 0.000
Cs 0.394 0.394 0.650
Cs 0.233 0.767 0.000
Cs 0.606 0.606 0.350
Tl 0.822 0.822 0.847
Tl 0.178 0.178 0.153

## Properties
Uncorrected energy: -20.072 eV per formula unit
Spin magnetization: 0.00 μB/atom
Energy relative to the elements, uncorrected: -0.817 eV/atom